A plane-wave DFT calculation with GGA-PBE was carried out for a geometry-optimized Cs3Te5Au2 structure.

Computed properties:
M_tot (Bohr magnetons per cell): 0.00
Uncorrected formation energy (eV per atom): -0.52
Space-group type: Ibam

Cell lengths 12.936, 12.936, 12.936 Å; angles 140.77, 59.84, 136.71 degrees
Element x y z (fractional)
Cs 0.188 0.644 0.831
Cs 0.250 0.250 0.000
Cs 0.312 0.144 0.456
Cs 0.688 0.856 0.544
Cs 0.750 0.750 0.000
Cs 0.812 0.356 0.169
Te 0.059 0.336 0.395
Te 0.069 0.250 0.819
Te 0.250 0.750 0.500
Te 0.431 0.250 0.181
Te 0.441 0.836 0.277
Te 0.559 0.164 0.723
Te 0.569 0.750 0.819
Te 0.750 0.250 0.500
Te 0.931 0.750 0.181
Te 0.941 0.664 0.605
Au 0.134 0.089 0.223
Au 0.366 0.589 0.954
Au 0.634 0.411 0.046
Au 0.866 0.911 0.777

A plane-wave DFT calculation with GGA-PBE was carried out for a geometry-optimized Cs4TeAu2 structure.

Computed properties:
M_tot (Bohr magnetons per cell): 0.00
Uncorrected formation energy (eV per atom): -0.62
Space-group type: I-42d

Cell lengths 9.674, 9.674, 9.674 Å; angles 109.40, 109.40, 109.61 degrees
Element x y z (fractional)
Cs 0.128 0.523 0.747
Cs 0.131 0.026 0.753
Cs 0.273 0.378 0.247
Cs 0.477 0.224 0.605
Cs 0.619 0.872 0.395
Cs 0.622 0.869 0.895
Cs 0.776 0.381 0.253
Cs 0.974 0.727 0.105
Te 0.250 0.750 0.500
Te 0.500 0.500 0.000
Au 0.375 0.008 0.133
Au 0.758 0.625 0.633
Au 0.875 0.242 0.867
Au 0.992 0.125 0.367

A plane-wave DFT calculation with GGA-PBE was carried out for a geometry-optimized Cs3Te2Au structure.

Computed properties:
M_tot (Bohr magnetons per cell): 0.00
Uncorrected formation energy (eV per atom): -0.84
Space-group type: Ibam

Cell lengths 9.953, 9.953, 9.953 Å; angles 126.70, 88.18, 115.73 degrees
Element x y z (fractional)
Cs 0.050 0.750 0.300
Cs 0.250 0.250 0.000
Cs 0.450 0.750 0.700
Cs 0.550 0.250 0.300
Cs 0.750 0.750 0.000
Cs 0.950 0.250 0.700
Te 0.105 0.746 0.851
Te 0.395 0.246 0.641
Te 0.605 0.754 0.359
Te 0.895 0.254 0.149
Au 0.000 0.500 0.500
Au 0.500 0.000 0.500

A plane-wave DFT calculation with GGA-PBE was carried out for a geometry-optimized Cs2TeAu2 structure.

Computed properties:
M_tot (Bohr magnetons per cell): 0.00
Uncorrected formation energy (eV per atom): -0.41
Space-group type: P4/mbm

Cell lengths 7.871, 7.871, 5.595 Å; angles 90.00, 90.00, 90.00 degrees
Element x y z (fractional)
Cs 0.182 0.318 0.000
Cs 0.318 0.818 0.000
Cs 0.682 0.182 0.000
Cs 0.818 0.682 0.000
Te 0.000 0.000 0.500
Te 0.500 0.500 0.500
Au 0.125 0.625 0.500
Au 0.375 0.125 0.500
Au 0.625 0.875 0.500
Au 0.875 0.375 0.500

A plane-wave DFT calculation with GGA-PBE was carried out for a geometry-optimized CsTe4Au structure.

Computed properties:
M_tot (Bohr magnetons per cell): 0.00
Uncorrected formation energy (eV per atom): -0.25
Space-group type: C2/c

Cell lengths 7.770, 7.770, 8.311 Å; angles 94.86, 94.86, 78.85 degrees
Element x y z (fractional)
Cs 0.161 0.839 0.750
Cs 0.839 0.161 0.250
Te 0.026 0.634 0.299
Te 0.298 0.432 0.467
Te 0.366 0.974 0.201
Te 0.432 0.298 0.967
Te 0.568 0.702 0.033
Te 0.634 0.026 0.799
Te 0.702 0.568 0.533
Te 0.974 0.366 0.701
Au 0.000 0.500 0.000
Au 0.500 0.000 0.500

A plane-wave DFT calculation with GGA-PBE was carried out for a geometry-optimized Cs2Te5Au4 structure.

Computed properties:
M_tot (Bohr magnetons per cell): 0.00
Uncorrected formation energy (eV per atom): -0.27
Space-group type: C2/m

Cell lengths 7.777, 7.777, 7.980 Å; angles 117.64, 117.64, 63.83 degrees
Element x y z (fractional)
Cs 0.034 0.034 0.294
Cs 0.966 0.966 0.706
Te 0.058 0.494 0.800
Te 0.494 0.058 0.800
Te 0.500 0.500 0.500
Te 0.506 0.942 0.200
Te 0.942 0.506 0.200
Au 0.290 0.290 0.075
Au 0.441 0.441 0.786
Au 0.559 0.559 0.214
Au 0.710 0.710 0.925

A plane-wave DFT calculation with GGA-PBE was carried out for a geometry-optimized Cs7Te2Au2 structure.

Computed properties:
M_tot (Bohr magnetons per cell): 0.00
Uncorrected formation energy (eV per atom): -0.61
Space-group type: Cmmm

Cell lengths 9.024, 9.024, 9.051 Å; angles 90.00, 90.00, 95.67 degrees
Element x y z (fractional)
Cs 0.000 0.000 0.000
Cs 0.000 0.500 0.254
Cs 0.000 0.500 0.746
Cs 0.500 0.000 0.254
Cs 0.500 0.000 0.746
Cs 0.500 0.500 0.248
Cs 0.500 0.500 0.752
Te 0.276 0.724 0.000
Te 0.724 0.276 0.000
Au 0.266 0.266 0.500
Au 0.734 0.734 0.500